An optimized crystal structure of NaBe2CrF8. Source: the Alexandria database, functional GGA+U.

POSCAR file:
```
NaBe2CrF8
1.0
-4.0055 -0.8580 -2.4072
-2.9215 -3.4718 1.4096
-5.9149 3.3357 3.9642
Na Be Cr F
1 2 1 8
Direct
0.5000 0.5000 0.5000
0.2541 0.2541 0.2376
0.7459 0.7459 0.7624
0.0000 0.0000 0.0000
0.1870 0.1870 0.4389
0.6028 0.2573 0.1579
0.8130 0.8130 0.5611
0.9821 0.6028 0.1579
0.0179 0.3972 0.8421
0.2573 0.9821 0.1579
0.7427 0.0179 0.8421
0.3972 0.7427 0.8421
```

## Properties
For the volume, the calculation gives 144 Å³ per cell. Its final energy is -5.573 eV per atom. Its space group is R-3 (148).